# 1
This record from the Alexandria database describes LiLaErHg after structural relaxation. The functional is PBE.

Lattice parameters (Å, degrees): 5.352 5.352 5.352 60.00 60.00 60.00
Fractional coordinates of all 4 atoms:
Li1 0.000 0.000 0.000
La1 0.750 0.750 0.750
Er1 0.250 0.250 0.250
Hg1 0.500 0.500 0.500

Values from the calculation:
- Formation enthalpy at 0 K: -0.196 eV per atom

---

# 2
This record from the Alexandria database describes Li2LaErHg4 after structural relaxation. The functional is PBE.

Lattice parameters (Å, degrees): 8.925 8.925 8.925 33.16 33.16 33.16
Fractional coordinates of all 8 atoms:
Li1 0.247 0.247 0.247
Li2 0.753 0.753 0.753
La1 0.000 0.000 0.000
Er1 0.500 0.500 0.500
Hg1 0.129 0.129 0.129
Hg2 0.380 0.380 0.380
Hg3 0.620 0.620 0.620
Hg4 0.871 0.871 0.871

Values from the calculation:
- Formation enthalpy at 0 K: -0.442 eV per atom